[1]
VASP calculation (PBE) on LaCu2Ir after structural relaxation.

Computed properties:
volume	70.1	Å³ per cell
formation energy from the elements	0.50	eV/atom
polymorph energy (0 for the lowest one)	775	meV/atom
space-group type	R-3m, No. 166

Structure (POSCAR):
```
LaCu2Ir
1.0
1.469 0.848 9.376
-1.469 0.848 9.376
0.000 -1.696 9.376
La Cu Ir
1 2 1
Cartesian
0.000 0.000 0.000
0.000 0.000 6.686
0.000 0.000 21.443
0.000 0.000 14.064
```

=====

[2]
VASP calculation (PBE) on Pm3Pr6HoEr2 after structural relaxation.

Computed properties:
volume	410.8	Å³ per cell
formation energy from the elements	0.01	eV/atom
space-group type	C2/m, No. 12

Structure (POSCAR):
```
Pm3Pr6HoEr2
1.0
3.169 -5.492 0.000
3.169 5.492 0.000
-2.109 0.000 11.801
Pm Pr Ho Er
3 6 1 2
Cartesian
0.000 0.000 0.000
3.169 1.831 0.000
3.169 -1.831 0.000
1.054 1.831 2.997
0.005 0.000 8.805
1.054 -1.831 2.997
3.176 1.831 8.804
4.224 0.000 2.996
3.176 -1.831 8.804
2.115 0.000 5.901
2.115 3.662 5.901
2.115 -3.662 5.901
```

=====

[3]
VASP calculation (PBE) on Tb12PmPr7 after structural relaxation.

Computed properties:
volume	743.6	Å³ per cell
formation energy from the elements	0.61	eV/atom
polymorph energy (0 for the lowest one)	385	meV/atom
space-group type	Im-3m, No. 229

Structure (POSCAR):
```
Tb12PmPr7
1.0
-5.707 5.707 5.707
5.707 -5.707 5.707
5.707 5.707 -5.707
Tb Pm Pr
12 1 7
Cartesian
5.707 2.869 -2.869
5.707 -2.869 2.869
2.869 5.707 -2.869
2.838 2.838 0.000
2.838 0.000 2.838
2.869 -2.869 5.707
0.000 2.838 2.838
5.707 2.869 2.869
-2.869 5.707 2.869
-2.869 2.869 5.707
2.869 5.707 2.869
2.869 2.869 5.707
0.000 0.000 0.000
2.854 2.854 -2.854
2.854 -2.854 2.854
5.707 0.000 0.000
-2.854 2.854 2.854
0.000 5.707 0.000
0.000 0.000 5.707
2.854 2.854 2.854
```

=====

[4]
VASP calculation (PBE) on Li12ZnAg3 after structural relaxation.

Computed properties:
volume	269.1	Å³ per cell
formation energy from the elements	-0.12	eV/atom
space-group type	P4/mmm, No. 123

Structure (POSCAR):
```
Li12ZnAg3
1.0
4.024 0.000 0.000
0.000 4.024 0.000
0.000 0.000 16.614
Li Zn Ag
12 1 3
Cartesian
0.000 0.000 0.000
0.000 0.000 4.160
0.000 0.000 8.307
0.000 0.000 12.454
0.000 2.012 2.083
0.000 2.012 6.229
0.000 2.012 10.385
0.000 2.012 14.531
2.012 0.000 2.083
2.012 0.000 6.229
2.012 0.000 10.385
2.012 0.000 14.531
2.012 2.012 0.000
2.012 2.012 4.170
2.012 2.012 8.307
2.012 2.012 12.445
```

=====

[5]
VASP calculation (PBE) on NpCuTeO after structural relaxation.

Computed properties:
volume	151.5	Å³ per cell
space-group type	P4/nmm, No. 129
ΔE_f (raw)	-1384	meV/atom

Structure (POSCAR):
```
NpCuTeO
1.0
4.021 0.000 0.000
0.000 4.021 0.000
0.000 0.000 9.368
Np Cu Te O
2 2 2 2
Cartesian
1.005 1.005 1.160
3.016 3.016 8.208
1.005 3.016 4.684
3.016 1.005 4.684
1.005 1.005 6.436
3.016 3.016 2.932
1.005 3.016 0.000
3.016 1.005 0.000
```

=====

[6]
VASP calculation (PBE) on Li2PrSn after structural relaxation.

Computed properties:
volume	101.7	Å³ per cell
formation energy from the elements	-0.32	eV/atom
space-group type	P4/mmm, No. 123

Structure (POSCAR):
```
Li2PrSn
1.0
4.544 0.000 0.000
0.000 4.544 0.000
0.000 0.000 4.925
Li Pr Sn
2 1 1
Cartesian
0.000 2.272 0.000
2.272 0.000 0.000
0.000 0.000 2.462
2.272 2.272 2.462
```

=====

[7]
VASP calculation (PBE) on LiCeMnAl after structural relaxation.

Computed properties:
volume	71.8	Å³ per cell
formation energy from the elements	-0.04	eV/atom
space-group type	F-43m, No. 216

Structure (POSCAR):
```
LiCeMnAl
1.0
0.000 3.299 3.299
3.299 0.000 3.299
3.299 3.299 0.000
Li Ce Mn Al
1 1 1 1
Cartesian
0.000 0.000 0.000
4.948 4.948 4.948
3.299 3.299 3.299
1.649 1.649 1.649
```

=====

[8]
VASP calculation (PBE) on Rb2BaNb after structural relaxation.

Computed properties:
volume	435.7	Å³ per cell
formation energy from the elements	1.16	eV/atom
polymorph energy (0 for the lowest one)	0	meV/atom
space-group type	I-42d, No. 122

Structure (POSCAR):
```
Rb2BaNb
1.0
-2.708 2.708 14.855
2.708 -2.708 14.855
2.708 2.708 -14.855
Rb Ba Nb
4 2 2
Cartesian
4.062 1.237 -3.714
1.237 1.354 3.714
-1.354 1.471 11.141
1.471 1.354 18.569
2.708 0.000 7.428
0.000 0.000 14.855
0.000 0.000 0.000
0.000 2.708 7.428
```

=====

[9]
VASP calculation (PBE) on CsLiP2O after structural relaxation.

Computed properties:
volume	147.7	Å³ per cell
polymorph energy (0 for the lowest one)	717	meV/atom
space-group type	P4/mmm, No. 123
ΔE_f (raw)	1212	meV/atom

Structure (POSCAR):
```
CsLiP2O
1.0
5.697 0.000 0.000
0.000 5.697 0.000
0.000 0.000 4.550
Cs Li P O
1 1 2 1
Cartesian
0.000 0.000 0.000
2.849 2.849 2.275
0.000 2.849 0.000
2.849 0.000 0.000
0.000 0.000 2.275
```

=====

[10]
VASP calculation (PBE) on Te2RuPb after structural relaxation.

Computed properties:
volume	271.3	Å³ per cell
space-group type	I-42d, No. 122
ΔE_f (raw)	130	meV/atom

Structure (POSCAR):
```
Te2RuPb
1.0
-3.425 3.425 5.782
3.425 -3.425 5.782
3.425 3.425 -5.782
Te Ru Pb
4 2 2
Cartesian
5.137 1.212 -1.446
1.212 1.712 1.446
-1.712 2.213 4.337
2.213 1.712 7.228
0.000 0.000 0.000
0.000 3.425 2.891
3.425 0.000 2.891
0.000 0.000 5.782
```

=====

[11]
VASP calculation (PBE) on Y4Re6O19 after structural relaxation.

Computed properties:
volume	365.4	Å³ per cell
space-group type	I23, No. 197
ΔE_f (raw)	-2158	meV/atom

Structure (POSCAR):
```
Y4Re6O19
1.0
-4.504 4.504 4.504
4.504 -4.504 4.504
4.504 4.504 -4.504
Y Re O
4 6 19
Cartesian
1.321 1.321 -1.321
1.321 -1.321 1.321
-1.321 1.321 1.321
3.183 3.183 3.183
4.504 1.210 0.000
4.504 0.000 3.294
3.294 4.504 0.000
1.210 0.000 4.504
0.000 4.504 1.210
0.000 3.294 4.504
0.000 0.000 0.000
2.841 0.000 0.000
6.167 0.000 0.000
4.696 -1.468 1.968
3.036 2.536 -0.193
5.971 2.536 0.193
0.000 2.841 0.000
0.000 0.000 2.841
2.536 -0.193 3.036
1.968 4.696 -1.468
4.311 1.468 1.968
-0.193 3.036 2.536
1.968 4.311 1.468
2.536 0.193 5.971
0.000 6.167 0.000
0.000 0.000 6.167
1.468 1.968 4.311
-1.468 1.968 4.696
0.193 5.971 2.536
```

=====

[12]
VASP calculation (PBE) on CrCoHRu2 after structural relaxation.

Computed properties:
volume	52.4	Å³ per cell
polymorph energy (0 for the lowest one)	0	meV/atom
space-group type	P4/mmm, No. 123

Structure (POSCAR):
```
CrCoHRu2
1.0
3.819 0.000 0.000
0.000 3.819 0.000
0.000 0.000 3.589
Cr Co H Ru
1 1 1 2
Cartesian
0.000 0.000 0.000
1.910 1.910 0.000
1.910 1.910 1.795
0.000 1.910 1.795
1.910 0.000 1.795
```

=====

no.,size of the total moment (μB/f.u.)
1,1.49
2,0.00
3,0.00
4,0.00
5,4.00
6,0.00
7,2.85
8,5.02
9,2.42
10,0.00
11,0.00
12,0.00